Here is a relaxed VHgTe2Pt crystal from Alexandria via LeMat-Bulk. Energies are from GGA-PBE.

## Properties
ΔE_f (raw): 1.376 eV/atom
crystal system: tetragonal
calculated density: 7.693 g/cm3

```
data_VHgTe2Pt
_symmetry_space_group_name_H-M 'P 1'
_symmetry_Int_Tables_number 1
_cell_length_a 5.4809
_cell_length_b 5.0431
_cell_length_c 5.4809
_cell_angle_alpha 90.00
_cell_angle_beta 90.00
_cell_angle_gamma 90.00
loop_
_symmetry_equiv_pos_as_xyz
'x,y,z'
loop_
_atom_site_label
_atom_site_fract_x
_atom_site_fract_y
_atom_site_fract_z
Te1 0.0000 0.0000 0.5000
Te2 0.5000 0.0000 0.0000
Hg1 0.0000 0.0000 0.0000
Pt1 0.0000 0.5000 0.0000
V1 0.5000 0.5000 0.5000
```